1.
The following is a DFT calculation (PBE-GGA) of an optimized crystal structure of Tb7DyEr5.

Results
The calculation puts the energy of formation at 0.255 eV/atom. For the spin magnetization, the calculation gives 0.000 μB/atom. Its total energy is -4.347 eV/atom.

The structure in CIF format:
```
data_Tb7DyEr5
_chemical_formula_sum 'Tb14 Dy2 Er10'
_cell_length_a 6.618
_cell_length_b 11.155
_cell_length_c 11.447
_cell_angle_alpha 90.00
_cell_angle_beta 90.00
_cell_angle_gamma 90.00
_space_group_name_H-M_alt 'I m m 2'
_space_group_IT_number 44
_space_group_name_Hall 'I 2 -2'
loop_
_atom_site_label
_atom_site_type_symbol
_atom_site_fract_x
_atom_site_fract_y
_atom_site_fract_z
Tb1 Tb 0.000 0.000 0.000
Tb2 Tb 0.000 0.000 0.307
Tb3 Tb 0.000 0.328 0.251
Tb4 Tb 0.000 0.328 0.750
Tb5 Tb 0.000 0.500 0.000
Dy1 Dy 0.000 0.000 0.693
Er1 Er 0.000 0.500 0.501
Er2 Er 0.234 0.228 0.501
```

---

2.
The following is a DFT calculation (PBE-GGA) of an optimized crystal structure of TbDy3Er4.

Results
The calculation puts the energy of formation at 0.003 eV/atom. For the spin magnetization, the calculation gives 0.000 μB/atom. Its total energy is -4.583 eV/atom.

The structure in CIF format:
```
data_TbDy3Er4
_chemical_formula_sum 'Tb2 Dy6 Er8'
_cell_length_a 11.141
_cell_length_b 7.207
_cell_length_c 6.231
_cell_angle_alpha 90.00
_cell_angle_beta 90.00
_cell_angle_gamma 90.00
_space_group_name_H-M_alt 'P m n 21'
_space_group_IT_number 31
_space_group_name_Hall 'P 2ac -2'
loop_
_atom_site_label
_atom_site_type_symbol
_atom_site_fract_x
_atom_site_fract_y
_atom_site_fract_z
Tb1 Tb 0.000 0.126 0.000
Dy1 Dy 0.000 0.874 0.500
Dy2 Dy 0.250 0.126 0.334
Er1 Er 0.000 0.376 0.501
Er2 Er 0.000 0.624 0.000
Er3 Er 0.250 0.376 0.833
```

---

3.
The following is a DFT calculation (PBE-GGA) of an optimized crystal structure of Tb3Dy2Er.

Results
The calculation puts the energy of formation at 0.069 eV/atom. For the spin magnetization, the calculation gives 0.000 μB/atom. Its total energy is -4.541 eV/atom.

The structure in CIF format:
```
data_Tb3Dy2Er
_chemical_formula_sum 'Tb12 Dy8 Er4'
_cell_length_a 16.919
_cell_length_b 5.598
_cell_length_c 9.646
_cell_angle_alpha 90.00
_cell_angle_beta 124.75
_cell_angle_gamma 90.00
_space_group_name_H-M_alt 'C 1 2/m 1'
_space_group_IT_number 12
_space_group_name_Hall '-C 2y'
loop_
_atom_site_label
_atom_site_type_symbol
_atom_site_fract_x
_atom_site_fract_y
_atom_site_fract_z
Tb1 Tb 0.001 0.000 0.332
Tb2 Tb 0.125 0.500 0.626
Tb3 Tb 0.249 0.500 0.418
Dy1 Dy 0.000 0.500 0.166
Dy2 Dy 0.249 0.500 0.085
Er1 Er 0.125 0.000 0.124
```

---

4.
The following is a DFT calculation (PBE-GGA) of an optimized crystal structure of Tb2DyEr7.

Results
The calculation puts the energy of formation at 0.705 eV/atom. For the spin magnetization, the calculation gives 0.000 μB/atom. Its total energy is -3.875 eV/atom.

The structure in CIF format:
```
data_Tb2DyEr7
_chemical_formula_sum 'Tb4 Dy2 Er14'
_cell_length_a 8.589
_cell_length_b 17.199
_cell_length_c 5.076
_cell_angle_alpha 90.00
_cell_angle_beta 90.00
_cell_angle_gamma 90.00
_space_group_name_H-M_alt 'C m m m'
_space_group_IT_number 65
_space_group_name_Hall '-C 2 2'
loop_
_atom_site_label
_atom_site_type_symbol
_atom_site_fract_x
_atom_site_fract_y
_atom_site_fract_z
Tb1 Tb 0.000 0.201 0.000
Dy1 Dy 0.000 0.500 0.500
Er1 Er 0.000 0.000 0.000
Er2 Er 0.000 0.305 0.500
Er3 Er 0.180 0.393 0.000
```

---

5.
The following is a DFT calculation (PBE-GGA) of an optimized crystal structure of Tb4Dy4Er3.

Results
The calculation puts the energy of formation at 0.057 eV/atom. For the spin magnetization, the calculation gives 0.000 μB/atom. Its total energy is -4.544 eV/atom.

The structure in CIF format:
```
data_Tb4Dy4Er3
_chemical_formula_sum 'Tb4 Dy4 Er3'
_cell_length_a 3.498
_cell_length_b 5.561
_cell_length_c 17.941
_cell_angle_alpha 81.11
_cell_angle_beta 84.42
_cell_angle_gamma 90.00
_space_group_name_H-M_alt 'P -1'
_space_group_IT_number 2
_space_group_name_Hall '-P 1'
loop_
_atom_site_label
_atom_site_type_symbol
_atom_site_fract_x
_atom_site_fract_y
_atom_site_fract_z
Tb1 Tb 0.045 0.045 0.408
Tb2 Tb 0.179 0.680 0.140
Dy1 Dy 0.090 0.589 0.319
Dy2 Dy 0.233 0.233 0.034
Er1 Er 0.364 0.864 0.773
Er2 Er 0.500 0.500 0.500
```

---

6.
The following is a DFT calculation (PBE-GGA) of an optimized crystal structure of Tb5Dy8Er.

Results
The calculation puts the energy of formation at 0.255 eV/atom. For the spin magnetization, the calculation gives 0.000 μB/atom. Its total energy is -4.354 eV/atom.

The structure in CIF format:
```
data_Tb5Dy8Er
_chemical_formula_sum 'Tb10 Dy16 Er2'
_cell_length_a 9.519
_cell_length_b 9.519
_cell_length_c 10.037
_cell_angle_alpha 90.00
_cell_angle_beta 90.00
_cell_angle_gamma 90.00
_space_group_name_H-M_alt 'I -4'
_space_group_IT_number 82
_space_group_name_Hall 'I -4'
loop_
_atom_site_label
_atom_site_type_symbol
_atom_site_fract_x
_atom_site_fract_y
_atom_site_fract_z
Tb1 Tb 0.000 0.000 0.000
Tb2 Tb 0.110 0.789 0.424
Dy1 Dy 0.070 0.676 0.095
Dy2 Dy 0.088 0.825 0.753
Er1 Er 0.000 0.500 0.750
```